Sr4AsS2Cl | PBE | relaxed

```
Sr4AsS2Cl
1.0
-3.074 3.074 6.221
3.074 -3.074 6.221
3.074 3.074 -6.221
Sr As S Cl
4 1 2 1
direct
0.000 0.500 0.500
0.241 0.241 0.000
0.500 0.000 0.500
0.759 0.759 0.000
0.000 0.000 0.000
0.250 0.750 0.500
0.750 0.250 0.500
0.500 0.500 0.000
```

Values from the calculation:
Uncorrected energy   -4.591 eV/atom
Total moment   0.0 μB per formula unit
Raw formation energy   -1.9063 eV per atom